! DyMg2Hg8 | Alexandria | GGA-PBE | relaxed; values from VASP
! * calculated volume: 23.41 A^3/atom
! * formation enthalpy at 0 K: -1.9 eV/f.u.
&SYSTEM
  ibrav = 0, nat = 11, ntyp = 3
/
ATOMIC_SPECIES
Dy 162.50 Dy.upf
Mg 24.30 Mg.upf
Hg 200.59 Hg.upf
CELL_PARAMETERS angstrom
7.883 -2.377 0.000
7.883 2.377 0.000
-2.002 0.000 6.870
ATOMIC_POSITIONS angstrom
Dy 0.000 0.000 0.000
Mg 3.488 0.000 2.368
Mg 10.276 0.000 4.503
Hg 0.575 0.000 3.229
Hg 1.114 0.000 6.275
Hg 4.128 0.000 5.324
Hg 6.509 0.000 1.736
Hg 7.255 0.000 5.135
Hg 9.636 0.000 1.546
Hg 12.650 0.000 0.595
Hg 13.190 0.000 3.641